Be2CuRh2: optimized geometry, PBE-GGA. Values from VASP.

Output
* formation energy: -1.15 eV per formula unit
* V: 11.868 Å³/atom
* SG: P4/mbm (127)
* calculated density: 8.042 g/cm³
* calculated total energy: -54.80 eV per cell
* energy above the lowest structure with this stoichiometry: 0.239 eV/atom

Quantum ESPRESSO input file:
```
&SYSTEM
  ibrav = 0, nat = 10, ntyp = 3
/
ATOMIC_SPECIES
Be 9.01 Be.upf
Rh 102.91 Rh.upf
Cu 63.55 Cu.upf
ATOMIC_POSITIONS angstrom
Be -2.583 -4.907 -2.626
Rh 0.827 -1.719 -1.592
Be -1.041 -2.603 -0.492
Rh -2.485 -2.581 -2.390
Cu -0.242 -3.365 -3.115
Be 0.558 -6.039 -3.674
Be 2.100 -3.734 -1.540
Rh 2.001 -4.149 -3.841
Cu 0.000 0.000 0.000
Rh -1.310 -5.011 -4.639
CELL_PARAMETERS angstrom
-4.827 -3.188 -2.951
4.344 -3.542 -3.280
0.000 -1.912 2.065
```



CaMgSb2O: optimized geometry, PBE-GGA. Values from VASP.

Output
* formation energy (no corrections): 1.132 eV per atom
* V: 39.302 Å³/atom
* SG: P4/mmm (123)
* calculated density: 2.737 g/cm³
* calculated total energy: -11.14 eV per cell

Quantum ESPRESSO input file:
```
&SYSTEM
  ibrav = 0, nat = 5, ntyp = 4
/
ATOMIC_SPECIES
Sb 121.76 Sb.upf
O 16.00 O.upf
Ca 40.08 Ca.upf
Mg 24.30 Mg.upf
ATOMIC_POSITIONS angstrom
Sb 2.847 0.000 0.000
O 2.847 3.031 2.847
Sb 0.000 0.000 2.847
Ca 0.000 0.000 0.000
Mg 0.000 3.031 0.000
CELL_PARAMETERS angstrom
5.694 0.000 0.000
0.000 6.061 0.000
0.000 0.000 5.694
```